1:
# PBE-GGA CrSiP, relaxed
data_CrSiP
_chemical_formula_sum 'Cr1 Si1 P1'
_space_group_name_H-M_alt 'P 1'
_space_group_IT_number 1
_space_group_name_Hall 'P 1'
_cell_length_a 3.737
_cell_length_b 4.292
_cell_length_c 4.292
_cell_angle_alpha 40.10
_cell_angle_beta 90.00
_cell_angle_gamma 90.00
loop_
_atom_site_label
_atom_site_type_symbol
_atom_site_fract_x
_atom_site_fract_y
_atom_site_fract_z
_atom_site_occupancy
Cr1 Cr 0.000 0.000 0.000 1
Si1 Si 0.500 0.526 0.526 1
P1 P 0.000 0.286 0.286 1
# D(E_F)	0.594	states/eV/atom
# volume	44.3	Å³/cell
# size of the total moment	0.16	Bohr magnetons per cell

=====

2:
# PBE-GGA CrSiP, relaxed
data_CrSiP
_chemical_formula_sum 'Cr1 Si1 P1'
_space_group_name_H-M_alt 'P 1'
_space_group_IT_number 1
_space_group_name_Hall 'P 1'
_cell_length_a 3.987
_cell_length_b 3.987
_cell_length_c 3.987
_cell_angle_alpha 60.00
_cell_angle_beta 60.00
_cell_angle_gamma 60.00
loop_
_atom_site_label
_atom_site_type_symbol
_atom_site_fract_x
_atom_site_fract_y
_atom_site_fract_z
_atom_site_occupancy
Cr1 Cr 0.000 0.000 0.000 1
Si1 Si 0.750 0.750 0.750 1
P1 P 0.250 0.250 0.250 1
# D(E_F)	1.014	states/eV/atom
# volume	44.8	Å³/cell
# size of the total moment	2.22	Bohr magnetons per cell

=====

Which one sits at the bottom of the stability order? 2 does.

=====

1:
# PBE-GGA CrSiP, relaxed
data_CrSiP
_chemical_formula_sum 'Cr1 Si1 P1'
_space_group_name_H-M_alt 'P 1'
_space_group_IT_number 1
_space_group_name_Hall 'P 1'
_cell_length_a 2.922
_cell_length_b 3.129
_cell_length_c 4.573
_cell_angle_alpha 90.00
_cell_angle_beta 96.46
_cell_angle_gamma 90.00
loop_
_atom_site_label
_atom_site_type_symbol
_atom_site_fract_x
_atom_site_fract_y
_atom_site_fract_z
_atom_site_occupancy
Cr1 Cr 0.000 0.000 0.000 1
Si1 Si 0.395 0.000 0.574 1
P1 P 0.520 0.500 0.200 1
# D(E_F)	0.843	states/eV/atom
# volume	41.6	Å³/cell
# size of the total moment	0.75	Bohr magnetons per cell

=====

2:
# PBE-GGA CrSiP, relaxed
data_CrSiP
_chemical_formula_sum 'Cr1 Si1 P1'
_space_group_name_H-M_alt 'P 1'
_space_group_IT_number 1
_space_group_name_Hall 'P 1'
_cell_length_a 3.938
_cell_length_b 2.494
_cell_length_c 4.372
_cell_angle_alpha 90.00
_cell_angle_beta 94.22
_cell_angle_gamma 90.00
loop_
_atom_site_label
_atom_site_type_symbol
_atom_site_fract_x
_atom_site_fract_y
_atom_site_fract_z
_atom_site_occupancy
Cr1 Cr 0.000 0.000 0.000 1
Si1 Si 0.908 0.500 0.524 1
P1 P 0.498 0.500 0.145 1
# D(E_F)	0.774	states/eV/atom
# volume	42.8	Å³/cell
# size of the total moment	0.00	Bohr magnetons per cell

=====

Which one sits at the bottom of the stability order? 2 does.

=====

1:
# PBE-GGA CrSiP, relaxed
data_CrSiP
_chemical_formula_sum 'Cr2 Si2 P2'
_space_group_name_H-M_alt 'P 1'
_space_group_IT_number 1
_space_group_name_Hall 'P 1'
_cell_length_a 3.098
_cell_length_b 3.098
_cell_length_c 7.545
_cell_angle_alpha 90.00
_cell_angle_beta 90.00
_cell_angle_gamma 90.00
loop_
_atom_site_label
_atom_site_type_symbol
_atom_site_fract_x
_atom_site_fract_y
_atom_site_fract_z
_atom_site_occupancy
Cr1 Cr 0.250 0.250 0.239 1
Cr2 Cr 0.750 0.750 0.761 1
Si1 Si 0.250 0.250 0.580 1
Si2 Si 0.750 0.750 0.420 1
P1 P 0.250 0.250 0.906 1
P2 P 0.750 0.750 0.094 1
# D(E_F)	0.640	states/eV/atom
# volume	72.4	Å³/cell
# size of the total moment	0.00	Bohr magnetons per cell

=====

2:
# PBE-GGA CrSiP, relaxed
data_CrSiP
_chemical_formula_sum 'Cr1 Si1 P1'
_space_group_name_H-M_alt 'P 1'
_space_group_IT_number 1
_space_group_name_Hall 'P 1'
_cell_length_a 4.241
_cell_length_b 4.241
_cell_length_c 4.241
_cell_angle_alpha 132.30
_cell_angle_beta 132.30
_cell_angle_gamma 69.76
loop_
_atom_site_label
_atom_site_type_symbol
_atom_site_fract_x
_atom_site_fract_y
_atom_site_fract_z
_atom_site_occupancy
Cr1 Cr 0.000 0.000 0.000 1
Si1 Si 0.250 0.750 0.500 1
P1 P 0.750 0.250 0.500 1
# D(E_F)	0.834	states/eV/atom
# volume	40.9	Å³/cell
# size of the total moment	0.86	Bohr magnetons per cell

=====

Which one sits at the bottom of the stability order? 2 does.

=====

1:
# PBE-GGA CrSiP, relaxed
data_CrSiP
_chemical_formula_sum 'Cr1 Si1 P1'
_space_group_name_H-M_alt 'P 1'
_space_group_IT_number 1
_space_group_name_Hall 'P 1'
_cell_length_a 4.358
_cell_length_b 4.358
_cell_length_c 4.358
_cell_angle_alpha 138.69
_cell_angle_beta 138.69
_cell_angle_gamma 59.85
loop_
_atom_site_label
_atom_site_type_symbol
_atom_site_fract_x
_atom_site_fract_y
_atom_site_fract_z
_atom_site_occupancy
Cr1 Cr 0.000 0.000 0.000 1
Si1 Si 0.332 0.332 0.000 1
P1 P 0.663 0.663 0.000 1
# D(E_F)	0.692	states/eV/atom
# volume	35.7	Å³/cell
# size of the total moment	0.00	Bohr magnetons per cell

=====

2:
# PBE-GGA CrSiP, relaxed
data_CrSiP
_chemical_formula_sum 'Cr1 Si1 P1'
_space_group_name_H-M_alt 'P 1'
_space_group_IT_number 1
_space_group_name_Hall 'P 1'
_cell_length_a 6.221
_cell_length_b 6.064
_cell_length_c 2.632
_cell_angle_alpha 81.00
_cell_angle_beta 74.31
_cell_angle_gamma 24.70
loop_
_atom_site_label
_atom_site_type_symbol
_atom_site_fract_x
_atom_site_fract_y
_atom_site_fract_z
_atom_site_occupancy
Cr1 Cr 0.000 0.000 0.000 1
Si1 Si 0.342 0.342 0.658 1
P1 P 0.647 0.647 0.353 1
# D(E_F)	0.677	states/eV/atom
# volume	38.9	Å³/cell
# size of the total moment	0.00	Bohr magnetons per cell

=====

3:
# PBE-GGA CrSiP, relaxed
data_CrSiP
_chemical_formula_sum 'Cr1 Si1 P1'
_space_group_name_H-M_alt 'P 1'
_space_group_IT_number 1
_space_group_name_Hall 'P 1'
_cell_length_a 3.887
_cell_length_b 3.887
_cell_length_c 3.887
_cell_angle_alpha 60.00
_cell_angle_beta 60.00
_cell_angle_gamma 60.00
loop_
_atom_site_label
_atom_site_type_symbol
_atom_site_fract_x
_atom_site_fract_y
_atom_site_fract_z
_atom_site_occupancy
Cr1 Cr 0.000 0.000 0.000 1
Si1 Si 0.500 0.500 0.500 1
P1 P 0.250 0.250 0.250 1
# D(E_F)	0.787	states/eV/atom
# volume	41.5	Å³/cell
# size of the total moment	0.93	Bohr magnetons per cell

=====

Which one sits at the bottom of the stability order? 3 does.

=====

1:
# PBE-GGA CrSiP, relaxed
data_CrSiP
_chemical_formula_sum 'Cr1 Si1 P1'
_space_group_name_H-M_alt 'P 1'
_space_group_IT_number 1
_space_group_name_Hall 'P 1'
_cell_length_a 4.154
_cell_length_b 4.154
_cell_length_c 2.528
_cell_angle_alpha 90.00
_cell_angle_beta 90.00
_cell_angle_gamma 120.00
loop_
_atom_site_label
_atom_site_type_symbol
_atom_site_fract_x
_atom_site_fract_y
_atom_site_fract_z
_atom_site_occupancy
Cr1 Cr 0.000 0.000 0.000 1
Si1 Si 0.333 0.667 0.497 1
P1 P 0.667 0.333 0.001 1
# D(E_F)	0.815	states/eV/atom
# volume	37.8	Å³/cell
# size of the total moment	0.54	Bohr magnetons per cell

=====

2:
# PBE-GGA CrSiP, relaxed
data_CrSiP
_chemical_formula_sum 'Cr1 Si1 P1'
_space_group_name_H-M_alt 'P 1'
_space_group_IT_number 1
_space_group_name_Hall 'P 1'
_cell_length_a 4.359
_cell_length_b 4.359
_cell_length_c 4.359
_cell_angle_alpha 138.53
_cell_angle_beta 131.05
_cell_angle_gamma 66.04
loop_
_atom_site_label
_atom_site_type_symbol
_atom_site_fract_x
_atom_site_fract_y
_atom_site_fract_z
_atom_site_occupancy
Cr1 Cr 0.000 0.000 0.000 1
Si1 Si 0.546 0.546 0.000 1
P1 P 0.258 0.758 0.500 1
# D(E_F)	0.349	states/eV/atom
# volume	40.7	Å³/cell
# size of the total moment	0.70	Bohr magnetons per cell

=====

Which one sits at the bottom of the stability order? 1 does.

=====

1:
# PBE-GGA CrSiP, relaxed
data_CrSiP
_chemical_formula_sum 'Cr4 Si4 P4'
_space_group_name_H-M_alt 'P 1'
_space_group_IT_number 1
_space_group_name_Hall 'P 1'
_cell_length_a 5.023
_cell_length_b 3.053
_cell_length_c 10.337
_cell_angle_alpha 90.00
_cell_angle_beta 90.00
_cell_angle_gamma 90.00
loop_
_atom_site_label
_atom_site_type_symbol
_atom_site_fract_x
_atom_site_fract_y
_atom_site_fract_z
_atom_site_occupancy
Cr1 Cr 0.081 0.250 0.185 1
Cr2 Cr 0.419 0.750 0.685 1
Cr3 Cr 0.581 0.250 0.315 1
Cr4 Cr 0.919 0.750 0.815 1
Si1 Si 0.179 0.250 0.952 1
Si2 Si 0.321 0.750 0.452 1
Si3 Si 0.679 0.250 0.548 1
Si4 Si 0.821 0.750 0.048 1
P1 P 0.080 0.250 0.655 1
P2 P 0.420 0.750 0.155 1
P3 P 0.580 0.250 0.845 1
P4 P 0.920 0.750 0.345 1
# D(E_F)	0.442	states/eV/atom
# volume	158.5	Å³/cell
# size of the total moment	0.00	Bohr magnetons per cell

=====

2:
# PBE-GGA CrSiP, relaxed
data_CrSiP
_chemical_formula_sum 'Cr2 Si2 P2'
_space_group_name_H-M_alt 'P 1'
_space_group_IT_number 1
_space_group_name_Hall 'P 1'
_cell_length_a 4.357
_cell_length_b 4.357
_cell_length_c 4.363
_cell_angle_alpha 90.00
_cell_angle_beta 90.00
_cell_angle_gamma 119.73
loop_
_atom_site_label
_atom_site_type_symbol
_atom_site_fract_x
_atom_site_fract_y
_atom_site_fract_z
_atom_site_occupancy
Cr1 Cr 0.247 0.753 0.750 1
Cr2 Cr 0.753 0.247 0.250 1
Si1 Si 0.423 0.577 0.250 1
Si2 Si 0.577 0.423 0.750 1
P1 P 0.095 0.905 0.250 1
P2 P 0.905 0.095 0.750 1
# D(E_F)	0.496	states/eV/atom
# volume	71.9	Å³/cell
# size of the total moment	0.00	Bohr magnetons per cell

=====

Which one sits at the bottom of the stability order? 2 does.